No. 1
Li3Mn2P3O12 after structural relaxation, computed with PBE+U.

Cell lengths 8.5386, 8.6869, 14.8414 Å; angles 90.00, 122.60, 90.00 degrees
Space group P2_1/c (No. 14)
Symmetry-distinct sites (fractional):
Li (0.0410, 0.2159, 0.3305) [4 per cell]
Li (0.3192, 0.1935, 0.2395) [4 per cell]
Li (0.3885, 0.5936, 0.3044) [4 per cell]
Mn (0.1388, 0.5444, 0.3907) [4 per cell]
Mn (0.3446, 0.5396, 0.0958) [4 per cell]
P (0.0593, 0.0947, 0.6592) [4 per cell]
P (0.2375, 0.6144, 0.6352) [4 per cell]
P (0.4586, 0.2463, 0.4970) [4 per cell]
O (0.0499, 0.2438, 0.1991) [4 per cell]
O (0.0876, 0.5910, 0.6636) [4 per cell]
O (0.1171, 0.5275, 0.2508) [4 per cell]
O (0.1170, 0.5351, 0.9392) [4 per cell]
O (0.1420, 0.6132, 0.5125) [4 per cell]
O (0.2316, 0.1048, 0.6477) [4 per cell]
O (0.2675, 0.1773, 0.9403) [4 per cell]
O (0.3125, 0.7166, 0.1737) [4 per cell]
O (0.3837, 0.6364, 0.4342) [4 per cell]
O (0.3906, 0.0080, 0.1920) [4 per cell]
O (0.4783, 0.1786, 0.4058) [4 per cell]
O (0.4791, 0.1256, 0.5791) [4 per cell]

No. 2
Li3Mn2P3O12 after structural relaxation, computed with PBE+U.

Cell lengths 11.6334, 11.6334, 11.6334 Å; angles 90.00, 90.00, 90.00 degrees
Space group Ia-3d (No. 230)
Symmetry-distinct sites (fractional):
Li (0.0000, 0.2500, 0.1250) [24 per cell]
Mn (0.0000, 0.0000, 0.0000) [16 per cell]
P (0.0000, 0.2500, 0.3750) [24 per cell]
O (0.0405, 0.0478, 0.6574) [96 per cell]

No. 3
LiMn2P2O8 after structural relaxation, computed with PBE+U.

Cell lengths 5.3097, 6.0906, 10.7519 Å; angles 90.00, 118.27, 90.00 degrees
Space group Pc (No. 7)
Symmetry-distinct sites (fractional):
Li (0.0000, 0.1244, 0.0000) [2 per cell]
Mn (0.0828, 0.3768, 0.7230) [2 per cell]
Mn (0.3758, 0.1539, 0.4182) [2 per cell]
P (0.5479, 0.1018, 0.6912) [2 per cell]
P (0.8198, 0.3937, 0.4232) [2 per cell]
O (0.3789, 0.0781, 0.7767) [2 per cell]
O (0.4302, 0.0700, 0.0654) [2 per cell]
O (0.4591, 0.3171, 0.6007) [2 per cell]
O (0.4805, 0.4017, 0.3295) [2 per cell]
O (0.8623, 0.1763, 0.5089) [2 per cell]
O (0.8710, 0.1058, 0.7901) [2 per cell]
O (0.9254, 0.4184, 0.0309) [2 per cell]
O (0.9707, 0.3803, 0.3313) [2 per cell]

| no. | raw total energy (eV/atom) |
| --- | --- |
| 1 | -6.964 |
| 2 | -6.805 |
| 3 | -7.226 |